FeSiSb (PBE, optimized geometry); space-group type = P3m1 (156); magnetic moment = 0.32 μB/f.u.; E_tot = -6.0305 eV/atom; E_form (uncorrected) = -0.028 eV per atom
1.0
-3.884 -0.191 0.169
1.932 -2.022 -2.707
0.529 -6.277 5.067
Fe Si Sb
2 2 2
Direct
0.667 0.333 0.082
0.000 0.000 0.861
0.000 0.000 0.133
0.333 0.667 0.909
0.333 0.667 0.326
0.667 0.333 0.676